## Tb3ThRu3 (PBE)

Data for an optimized crystal structure of Tb3ThRu3.

DOS(E_F) in states/eV per cell: 4.8
ΔH_f (0 K) in eV/atom: -0.397
ΔE to the lowest computed polymorph in meV per atom: 0

Unit cell a=5.8711 b=5.8711 c=5.8711 alpha=108.86 beta=108.86 gamma=108.86
Closest atoms and distances in Å follow each position.
Fractional positions:
Tb: 0.1969 0.1969 0.6062  5 Ru 2.84-3.13
Tb: 0.1969 0.6062 0.1969  5 Ru 2.84-3.13
Tb: 0.6062 0.1969 0.1969  5 Ru 2.84-3.13
Th: 0.7865 0.7865 0.7865  3 Ru 2.74
Ru: 0.1902 0.7005 0.7005  1 Th 2.74, 3 Tb 2.84-2.87
Ru: 0.7005 0.1902 0.7005  1 Th 2.74, 3 Tb 2.84-2.87
Ru: 0.7005 0.7005 0.1902  1 Th 2.74, 3 Tb 2.84-2.87

***

## CaSmAl (PBE)

Data for an optimized crystal structure of CaSmAl.

DOS(E_F) in states/eV per cell: 3.8
ΔH_f (0 K) in eV/atom: -0.177
ΔE to the lowest computed polymorph in meV per atom: 80

Unit cell a=3.6245 b=3.6245 c=13.5812 alpha=90.00 beta=90.00 gamma=90.00
Closest atoms and distances in Å follow each position.
Fractional positions:
Ca: 0.0000 0.0000 0.0000  4 Al 3.24, 4 Ca 3.62
Ca: 0.5000 0.5000 0.5000  4 Al 3.24, 4 Ca 3.62
Sm: 0.0000 0.0000 0.7214  4 Al 3.13
Sm: 0.5000 0.5000 0.2214  4 Al 3.13
Al: 0.0000 0.0000 0.3536  4 Sm 3.13, 4 Ca 3.24
Al: 0.5000 0.5000 0.8536  4 Sm 3.13, 4 Ca 3.24

***

## LiBe3Si (PBE)

Data for an optimized crystal structure of LiBe3Si.

DOS(E_F) in states/eV per cell: 2.1
ΔE to the lowest computed polymorph in meV per atom: 0
Energy relative to the elements, uncorrected in eV/atom: 0.764

Unit cell a=4.1987 b=4.1987 c=4.1987 alpha=90.00 beta=90.00 gamma=90.00
Closest atoms and distances in Å follow each position.
Fractional positions:
Li: 0.0000 0.0000 0.0000  12 Be 2.97
Be: 0.0000 0.5000 0.5000  2 Si 2.10
Be: 0.5000 0.0000 0.5000  2 Si 2.10
Be: 0.5000 0.5000 0.0000  2 Si 2.10
Si: 0.5000 0.5000 0.5000  6 Be 2.10

***

## CrAsRu2 (PBE)

Data for an optimized crystal structure of CrAsRu2.

DOS(E_F) in states/eV per cell: 3.1
ΔH_f (0 K) in eV/atom: 0.084

Unit cell a=2.8977 b=3.7246 c=5.2492 alpha=90.00 beta=90.00 gamma=90.00
Closest atoms and distances in Å follow each position.
Fractional positions:
Cr: 0.0000 0.0000 0.0000  6 Ru 2.54-2.69, 4 As 2.84
As: 0.5000 0.5000 0.6992  6 Ru 2.51-2.74
Ru: 0.0000 0.0000 0.5124  4 As 2.56, 2 Cr 2.56-2.69
Ru: 0.5000 0.5000 0.1772  2 As 2.51-2.74, 4 Cr 2.54

***

## BaMgPd4 (PBE)

Data for an optimized crystal structure of BaMgPd4.

DOS(E_F) in states/eV per cell: 5.2
ΔH_f (0 K) in eV/atom: -0.406

Unit cell a=5.5484 b=5.5484 c=5.5484 alpha=60.00 beta=60.00 gamma=60.00
Closest atoms and distances in Å follow each position.
Fractional positions:
Ba: 0.0000 0.0000 0.0000  12 Pd 3.26, 4 Mg 3.40
Mg: 0.2500 0.2500 0.2500  12 Pd 3.25, 4 Ba 3.40
Pd: 0.1276 0.6241 0.6241  6 Pd 2.75-2.79
Pd: 0.6241 0.1276 0.6241  6 Pd 2.75-2.79
Pd: 0.6241 0.6241 0.1276  6 Pd 2.75-2.79
Pd: 0.6241 0.6241 0.6241  6 Pd 2.75-2.79

***

## Ho2FeSi2 (PBE)

Data for an optimized crystal structure of Ho2FeSi2.

DOS(E_F) in states/eV per cell: 6.1
Energy relative to the elements, uncorrected in eV/atom: 0.847

Unit cell a=2.8889 b=2.8889 c=13.5734 alpha=90.00 beta=90.00 gamma=90.00
Closest atoms and distances in Å follow each position.
Fractional positions:
Ho: 0.0000 0.0000 0.1245  1 Si 2.78, 4 Ho 2.89
Ho: 0.0000 0.0000 0.8755  1 Si 2.78, 4 Ho 2.89
Fe: 0.0000 0.0000 0.5000  2 Si 2.31
Si: 0.0000 0.0000 0.3297  1 Fe 2.31
Si: 0.0000 0.0000 0.6703  1 Fe 2.31

***

## YMg3Co (PBE)

Data for an optimized crystal structure of YMg3Co.

DOS(E_F) in states/eV per cell: 10.8
ΔH_f (0 K) in eV/atom: 1.745
ΔE to the lowest computed polymorph in meV per atom: 1809

Unit cell a=5.8849 b=5.8849 c=5.8849 alpha=90.00 beta=90.00 gamma=90.00
Closest atoms and distances in Å follow each position.
Fractional positions:
Y: 0.0000 0.0000 0.0000  6 Mg 2.94
Mg: 0.0000 0.0000 0.5000  2 Y 2.94
Mg: 0.0000 0.5000 0.0000  2 Y 2.94
Mg: 0.5000 0.0000 0.0000  2 Y 2.94
Co: 0.5000 0.5000 0.5000  12 Mg 4.16

***

## Sr2Tl2Si (PBE)

Data for an optimized crystal structure of Sr2Tl2Si.

DOS(E_F) in states/eV per cell: 5.9
Energy relative to the elements, uncorrected in eV/atom: -0.143

Unit cell a=7.7882 b=7.7882 c=5.1657 alpha=90.00 beta=90.00 gamma=90.00
Closest atoms and distances in Å follow each position.
Fractional positions:
Sr: 0.1749 0.3251 0.0000  6 Tl 3.31-3.56
Sr: 0.3251 0.8251 0.0000  6 Tl 3.31-3.56
Sr: 0.6749 0.1749 0.0000  6 Tl 3.31-3.56
Sr: 0.8251 0.6749 0.0000  6 Tl 3.31-3.56
Tl: 0.1378 0.6378 0.5000  2 Si 3.02, 1 Tl 3.04, 2 Sr 3.31
Tl: 0.3622 0.1378 0.5000  2 Si 3.02, 1 Tl 3.04, 2 Sr 3.31
Tl: 0.6378 0.8622 0.5000  2 Si 3.02, 1 Tl 3.04, 2 Sr 3.31
Tl: 0.8622 0.3622 0.5000  2 Si 3.02, 1 Tl 3.04, 2 Sr 3.31
Si: 0.0000 0.0000 0.5000  4 Tl 3.02
Si: 0.5000 0.5000 0.5000  4 Tl 3.02

***

## Bi4PdAu3 (PBE)

Data for an optimized crystal structure of Bi4PdAu3.

DOS(E_F) in states/eV per cell: 3.7
ΔH_f (0 K) in eV/atom: -0.121

Unit cell a=4.1078 b=4.2521 c=11.0856 alpha=90.00 beta=90.00 gamma=90.00
Closest atoms and distances in Å follow each position.
Fractional positions:
Bi: 0.0000 0.0000 0.0000  5 Au 3.00-3.02, 2 Pd 3.21
Bi: 0.0000 0.5000 0.2774  3 Au 2.99-3.27, 4 Pd 3.02
Bi: 0.5000 0.0000 0.4773  1 Pd 2.83, 4 Au 3.06
Bi: 0.5000 0.5000 0.7817  5 Au 2.95-3.02
Pd: 0.5000 0.0000 0.2222  5 Bi 2.83-3.02, 2 Au 2.87
Au: 0.0000 0.0000 0.7277  2 Au 2.92, 5 Bi 3.02
Au: 0.0000 0.5000 0.5469  2 Au 2.92, 5 Bi 2.99-3.06
Au: 0.5000 0.5000 0.0478  2 Pd 2.87, 5 Bi 2.95-3.00

***

## NaLa2Tl2 (PBE)

Data for an optimized crystal structure of NaLa2Tl2.

DOS(E_F) in states/eV per cell: 7.7
ΔH_f (0 K) in eV/atom: -0.194
ΔE to the lowest computed polymorph in meV per atom: 66

Unit cell a=9.7809 b=9.7809 c=3.5024 alpha=90.00 beta=90.00 gamma=90.00
Closest atoms and distances in Å follow each position.
Fractional positions:
Na: 0.0000 0.0000 0.0000  2 Na 3.50, 4 La 3.86
Na: 0.5000 0.5000 0.0000  2 Na 3.50, 4 La 3.86
La: 0.1267 0.3733 0.0000  6 Tl 3.29-3.43, 3 La 3.50-3.51
La: 0.3733 0.8733 0.0000  6 Tl 3.29-3.43, 3 La 3.50-3.51
La: 0.6267 0.1267 0.0000  6 Tl 3.29-3.43, 3 La 3.50-3.51
La: 0.8733 0.6267 0.0000  6 Tl 3.29-3.43, 3 La 3.50-3.51
Tl: 0.1717 0.6717 0.5000  6 La 3.29-3.43, 2 Tl 3.50
Tl: 0.3283 0.1717 0.5000  6 La 3.29-3.43, 2 Tl 3.50
Tl: 0.6717 0.8283 0.5000  6 La 3.29-3.43, 2 Tl 3.50
Tl: 0.8283 0.3283 0.5000  6 La 3.29-3.43, 2 Tl 3.50

***

## Hf2IrS (PBE)

Data for an optimized crystal structure of Hf2IrS.

DOS(E_F) in states/eV per cell: 6.8
Energy relative to the elements, uncorrected in eV/atom: -0.437

Unit cell a=5.8184 b=5.8184 c=11.8656 alpha=90.00 beta=90.00 gamma=90.00
Closest atoms and distances in Å follow each position.
Fractional positions:
Hf: 0.2481 0.2500 0.1250  2 S 2.53, 2 Ir 2.54
Hf: 0.2500 0.7481 0.3750  2 S 2.53, 2 Ir 2.54
Hf: 0.2500 0.7519 0.8750  2 S 2.53, 2 Ir 2.54
Hf: 0.2519 0.2500 0.6250  2 S 2.53, 2 Ir 2.54
Hf: 0.7481 0.7500 0.6250  2 S 2.53, 2 Ir 2.54
Hf: 0.7500 0.2481 0.8750  2 S 2.53, 2 Ir 2.54
Hf: 0.7500 0.2519 0.3750  2 S 2.53, 2 Ir 2.54
Hf: 0.7519 0.7500 0.1250  2 S 2.53, 2 Ir 2.54
Ir: 0.0000 0.0000 0.5000  4 Hf 2.54
Ir: 0.0000 0.5000 0.7500  4 Hf 2.54
Ir: 0.5000 0.0000 0.2500  4 Hf 2.54
Ir: 0.5000 0.5000 0.0000  4 Hf 2.54
S: 0.0000 0.0000 0.0000  4 Hf 2.53
S: 0.0000 0.5000 0.2500  4 Hf 2.53
S: 0.5000 0.0000 0.7500  4 Hf 2.53
S: 0.5000 0.5000 0.5000  4 Hf 2.53

***

## Tm6ZnAu5 (PBE)

Data for an optimized crystal structure of Tm6ZnAu5.

DOS(E_F) in states/eV per cell: 6.6
ΔH_f (0 K) in eV/atom: -0.805

Unit cell a=7.9728 b=7.9728 c=7.0414 alpha=90.00 beta=90.00 gamma=143.21
Closest atoms and distances in Å follow each position.
Fractional positions:
Tm: 0.0000 0.0000 0.2464  6 Au 2.98-3.08, 2 Zn 3.09
Tm: 0.0000 0.0000 0.7536  6 Au 2.98-3.08, 2 Zn 3.09
Tm: 0.3324 0.6676 0.2507  7 Au 3.05-3.18, 1 Zn 3.08
Tm: 0.3324 0.6676 0.7493  7 Au 3.05-3.18, 1 Zn 3.08
Tm: 0.6676 0.3324 0.2507  7 Au 3.05-3.18, 1 Zn 3.08
Tm: 0.6676 0.3324 0.7493  7 Au 3.05-3.18, 1 Zn 3.08
Zn: 0.5000 0.5000 0.5000  8 Tm 3.08-3.09
Au: 0.1574 0.8426 0.5000  8 Tm 2.98-3.18
Au: 0.1684 0.8316 0.0000  8 Tm 3.05-3.08
Au: 0.5000 0.5000 0.0000  8 Tm 3.06-3.09
Au: 0.8316 0.1684 0.0000  8 Tm 3.05-3.08
Au: 0.8426 0.1574 0.5000  8 Tm 2.98-3.18

***

## LiCr2IrN (PBE)

Data for an optimized crystal structure of LiCr2IrN.

DOS(E_F) in states/eV per cell: 4.1
Energy relative to the elements, uncorrected in eV/atom: -0.206

Unit cell a=3.8206 b=3.8206 c=3.8437 alpha=90.00 beta=90.00 gamma=90.00
Closest atoms and distances in Å follow each position.
Fractional positions:
Li: 0.0000 0.0000 0.0000  2 N 1.92
Cr: 0.0000 0.5000 0.5000  2 N 1.91
Cr: 0.5000 0.0000 0.5000  2 N 1.91
Ir: 0.5000 0.5000 0.0000  4 Li 2.70, 8 Cr 2.71
N: 0.0000 0.0000 0.5000  4 Cr 1.91, 2 Li 1.92

***

## Sc2TcSb (PBE)

Data for an optimized crystal structure of Sc2TcSb.

DOS(E_F) in states/eV per cell: 4.5
Energy relative to the elements, uncorrected in eV/atom: -0.395

Unit cell a=4.0322 b=4.7071 c=8.1669 alpha=90.00 beta=90.00 gamma=90.00
Closest atoms and distances in Å follow each position.
Fractional positions:
Sc: 0.0000 0.0000 0.2246  2 Tc 2.73, 4 Sb 2.98-3.02
Sc: 0.0000 0.0000 0.7754  2 Tc 2.73, 4 Sb 2.98-3.02
Sc: 0.5000 0.5000 0.2754  2 Tc 2.73, 4 Sb 2.98-3.02
Sc: 0.5000 0.5000 0.7246  2 Tc 2.73, 4 Sb 2.98-3.02
Tc: 0.0000 0.5000 0.5000  4 Sc 2.73
Tc: 0.5000 0.0000 0.0000  4 Sc 2.73
Sb: 0.0000 0.5000 0.0000  8 Sc 2.98-3.02, 4 Tc 3.10
Sb: 0.5000 0.0000 0.5000  8 Sc 2.98-3.02, 4 Tc 3.10

***

## Rb2NaIn4Sn3 (PBE)

Data for an optimized crystal structure of Rb2NaIn4Sn3.

DOS(E_F) in states/eV per cell: 3.4
ΔH_f (0 K) in eV/atom: -0.134

Unit cell a=5.1630 b=5.1630 c=12.6049 alpha=90.00 beta=90.00 gamma=90.00
Closest atoms and distances in Å follow each position.
Fractional positions:
Rb: 0.0000 0.5000 0.2400  6 Sn 3.91-4.17, 8 In 3.96-3.98, 2 Na 4.17
Rb: 0.5000 0.0000 0.7600  6 Sn 3.91-4.17, 8 In 3.96-3.98, 2 Na 4.17
Na: 0.0000 0.0000 0.5000  4 In 3.11
In: 0.0000 0.0000 0.0000  4 Sn 3.05
In: 0.0000 0.5000 0.6375  3 Sn 2.95-3.11, 2 Na 3.11
In: 0.5000 0.0000 0.3625  3 Sn 2.95-3.11, 2 Na 3.11
In: 0.5000 0.5000 0.0000  4 Sn 3.05
Sn: 0.0000 0.5000 0.8718  5 In 2.95-3.05
Sn: 0.5000 0.0000 0.1282  5 In 2.95-3.05
Sn: 0.5000 0.5000 0.5000  4 In 3.11

***

## BaZrRe2 (PBE)

Data for an optimized crystal structure of BaZrRe2.

DOS(E_F) in states/eV per cell: 12.3
ΔH_f (0 K) in eV/atom: 1.051
ΔE to the lowest computed polymorph in meV per atom: 529

Unit cell a=6.8545 b=6.8545 c=6.8545 alpha=90.00 beta=90.00 gamma=90.00
Closest atoms and distances in Å follow each position.
Fractional positions:
Ba: 0.0000 0.0000 0.0000  4 Zr 2.97, 4 Re 2.97
Ba: 0.0000 0.5000 0.5000  4 Zr 2.97, 4 Re 2.97
Ba: 0.5000 0.0000 0.5000  4 Zr 2.97, 4 Re 2.97
Ba: 0.5000 0.5000 0.0000  4 Zr 2.97, 4 Re 2.97
Zr: 0.2500 0.2500 0.2500  4 Re 2.97, 4 Ba 2.97
Zr: 0.2500 0.7500 0.7500  4 Ba 2.97, 4 Re 2.97
Zr: 0.7500 0.2500 0.7500  4 Ba 2.97, 4 Re 2.97
Zr: 0.7500 0.7500 0.2500  4 Ba 2.97, 4 Re 2.97
Re: 0.0000 0.0000 0.5000  4 Re 2.97, 4 Zr 2.97
Re: 0.0000 0.5000 0.0000  4 Re 2.97, 4 Zr 2.97
Re: 0.2500 0.2500 0.7500  4 Ba 2.97, 4 Re 2.97
Re: 0.2500 0.7500 0.2500  4 Ba 2.97, 4 Re 2.97
Re: 0.5000 0.0000 0.0000  4 Re 2.97, 4 Zr 2.97
Re: 0.5000 0.5000 0.5000  4 Re 2.97, 4 Zr 2.97
Re: 0.7500 0.2500 0.2500  4 Ba 2.97, 4 Re 2.97
Re: 0.7500 0.7500 0.7500  4 Ba 2.97, 4 Re 2.97

***

## Nd3AgH (PBE)

Data for an optimized crystal structure of Nd3AgH.

DOS(E_F) in states/eV per cell: 7.1
Calculated total energy in eV/cell: -21.189

Unit cell a=4.9761 b=4.9761 c=4.9761 alpha=90.00 beta=90.00 gamma=90.00
Closest atoms and distances in Å follow each position.
Fractional positions:
Nd: 0.0000 0.0000 0.5000  2 H 2.49
Nd: 0.0000 0.5000 0.0000  2 H 2.49
Nd: 0.5000 0.0000 0.0000  2 H 2.49
Ag: 0.5000 0.5000 0.5000  12 Nd 3.52
H: 0.0000 0.0000 0.0000  6 Nd 2.49

***

## LaDyHo6Er2 (PBE)

Data for an optimized crystal structure of LaDyHo6Er2.

DOS(E_F) in states/eV per cell: 30.3
ΔH_f (0 K) in eV/atom: 0.123

Unit cell a=8.7738 b=8.7738 c=9.3746 alpha=92.60 beta=92.60 gamma=116.70
Closest atoms and distances in Å follow each position.
Fractional positions:
La: 0.0357 0.9643 0.7500  4 Er 3.37-3.52, 6 Ho 3.53-3.73
La: 0.9643 0.0357 0.2500  4 Er 3.37-3.52, 6 Ho 3.53-3.73
Dy: 0.4115 0.5885 0.2500  6 Ho 3.43-3.46, 4 Er 3.50-3.82
Dy: 0.5885 0.4115 0.7500  6 Ho 3.43-3.46, 4 Er 3.50-3.82
Ho: 0.0107 0.5546 0.6799  3 Ho 3.20-3.54, 2 Er 3.41-3.50, 1 Dy 3.44, 1 La 3.53
Ho: 0.1202 0.7568 0.0586  7 Ho 3.40-3.78, 1 Er 3.49, 2 La 3.70-3.73
Ho: 0.2432 0.8798 0.4414  7 Ho 3.40-3.78, 1 Er 3.49, 2 La 3.70-3.73
Ho: 0.2914 0.5195 0.8869  4 Ho 3.20-3.45, 3 Er 3.28-3.45, 2 Dy 3.43-3.46
Ho: 0.4454 0.9893 0.8201  3 Ho 3.20-3.54, 2 Er 3.41-3.50, 1 Dy 3.44, 1 La 3.53
Ho: 0.4805 0.7086 0.6131  4 Ho 3.20-3.45, 3 Er 3.28-3.45, 2 Dy 3.43-3.46
Ho: 0.5195 0.2914 0.3869  4 Ho 3.20-3.45, 3 Er 3.28-3.45, 2 Dy 3.43-3.46
Ho: 0.5546 0.0107 0.1799  3 Ho 3.20-3.54, 2 Er 3.41-3.50, 1 Dy 3.44, 1 La 3.53
Ho: 0.7086 0.4805 0.1131  4 Ho 3.20-3.45, 3 Er 3.28-3.45, 2 Dy 3.43-3.46
Ho: 0.7568 0.1202 0.5586  7 Ho 3.40-3.78, 1 Er 3.49, 2 La 3.70-3.73
Ho: 0.8798 0.2432 0.9414  7 Ho 3.40-3.78, 1 Er 3.49, 2 La 3.70-3.73
Ho: 0.9893 0.4454 0.3201  3 Ho 3.20-3.54, 2 Er 3.41-3.50, 1 Dy 3.44, 1 La 3.53
Er: 0.2017 0.3055 0.5526  6 Ho 3.28-3.50, 2 La 3.37-3.52, 1 Dy 3.50
Er: 0.3055 0.2017 0.0526  6 Ho 3.28-3.50, 2 La 3.37-3.52, 1 Dy 3.50
Er: 0.6945 0.7983 0.9474  6 Ho 3.28-3.50, 2 La 3.37-3.52, 1 Dy 3.50
Er: 0.7983 0.6945 0.4474  6 Ho 3.28-3.50, 2 La 3.37-3.52, 1 Dy 3.50

***

## Al3Pb (PBE)

Data for an optimized crystal structure of Al3Pb.

DOS(E_F) in states/eV per cell: 7.3
ΔH_f (0 K) in eV/atom: 0.211

Unit cell a=6.9834 b=8.2183 c=6.0024 alpha=90.00 beta=90.00 gamma=90.00
Closest atoms and distances in Å follow each position.
Fractional positions:
Al: 0.1123 0.2500 0.1639  6 Al 2.76-2.82, 1 Pb 3.01
Al: 0.1887 0.5333 0.9348  4 Al 2.76-2.82
Al: 0.1887 0.9667 0.9348  4 Al 2.76-2.82
Al: 0.3113 0.0333 0.4348  4 Al 2.76-2.82
Al: 0.3113 0.4667 0.4348  4 Al 2.76-2.82
Al: 0.3877 0.7500 0.6639  6 Al 2.76-2.82, 1 Pb 3.01
Al: 0.6123 0.2500 0.3361  6 Al 2.76-2.82, 1 Pb 3.01
Al: 0.6887 0.5333 0.5652  4 Al 2.76-2.82
Al: 0.6887 0.9667 0.5652  4 Al 2.76-2.82
Al: 0.8113 0.0333 0.0652  4 Al 2.76-2.82
Al: 0.8113 0.4667 0.0652  4 Al 2.76-2.82
Al: 0.8877 0.7500 0.8361  6 Al 2.76-2.82, 1 Pb 3.01
Pb: 0.0208 0.7500 0.3591  11 Al 3.01-3.32
Pb: 0.4792 0.2500 0.8591  11 Al 3.01-3.32
Pb: 0.5208 0.7500 0.1409  11 Al 3.01-3.32
Pb: 0.9792 0.2500 0.6409  11 Al 3.01-3.32

***

## CsLaMgSb2 (PBE)

Data for an optimized crystal structure of CsLaMgSb2.

DOS(E_F) in states/eV per cell: 5.4
Energy relative to the elements, uncorrected in eV/atom: 1.135

Unit cell a=6.1691 b=6.1691 c=5.8276 alpha=90.00 beta=90.00 gamma=90.00
Closest atoms and distances in Å follow each position.
Fractional positions:
Cs: 0.0000 0.0000 0.0000  2 La 2.91, 4 Sb 3.08
La: 0.0000 0.0000 0.5000  2 Cs 2.91
Mg: 0.5000 0.5000 0.5000  8 Sb 4.24, 4 La 4.36
Sb: 0.0000 0.5000 0.0000  2 Cs 3.08
Sb: 0.5000 0.0000 0.0000  2 Cs 3.08